P | A plane-wave DFT calculation with PBE was carried out for a relaxed structure of BiC2I.

Cell: 6.548 6.548 6.548 Å, 90.00 90.00 90.00°
Space group Fm-3m (No. 225)
Asymmetric unit:
1 Bi 0.000 0.000 0.000 [4 per cell]
2 C 0.250 0.250 0.250 [8 per cell]
3 I 0.000 0.000 0.500 [4 per cell]

For the density of states at the Fermi level, the calculation gives 2.7 states/eV/f.u. As for the crystal system: cubic.

Q | A plane-wave DFT calculation with PBE was carried out for a relaxed structure of BiC2I.

Cell: 5.152 5.152 12.904 Å, 90.00 90.00 90.00°
Space group I-42d (No. 122)
Asymmetric unit:
1 Bi 0.000 0.000 0.000 [4 per cell]
2 C 0.238 0.250 0.625 [8 per cell]
3 I 0.000 0.000 0.500 [4 per cell]

For the density of states at the Fermi level, the calculation gives 2.5 states/eV/f.u. As for the crystal system: tetragonal.

Most stable of them? Q.

P | A plane-wave DFT calculation with PBE was carried out for a relaxed structure of Bi2CI.

Cell: 7.414 7.414 7.414 Å, 90.00 90.00 90.00°
Space group Fm-3m (No. 225)
Asymmetric unit:
1 Bi 0.250 0.250 0.250 [8 per cell]
2 C 0.000 0.000 0.000 [4 per cell]
3 I 0.000 0.000 0.500 [4 per cell]

For the density of states at the Fermi level, the calculation gives 1.9 states/eV/f.u. As for the crystal system: cubic.

Q | A plane-wave DFT calculation with PBE was carried out for a relaxed structure of Bi2CI.

Cell: 7.583 7.583 7.935 Å, 90.00 90.00 90.00°
Space group I-42d (No. 122)
Asymmetric unit:
1 Bi 0.144 0.250 0.125 [8 per cell]
2 C 0.000 0.000 0.000 [4 per cell]
3 I 0.000 0.000 0.500 [4 per cell]

For the density of states at the Fermi level, the calculation gives 2.9 states/eV/f.u. As for the crystal system: tetragonal.

Most stable of them? Q.

P | A plane-wave DFT calculation with PBE was carried out for a relaxed structure of BiCIN2.

Cell: 4.228 4.228 4.363 Å, 90.00 90.00 90.00°
Space group P4/mmm (No. 123)
Asymmetric unit:
1 Bi 0.000 0.000 0.000 [1 per cell]
2 C 0.500 0.500 0.500 [1 per cell]
3 I 0.500 0.500 0.000 [1 per cell]
4 N 0.000 0.500 0.500 [2 per cell]

For the density of states at the Fermi level, the calculation gives 1.8 states/eV/f.u. As for the crystal system: tetragonal.

Q | A plane-wave DFT calculation with PBE was carried out for a relaxed structure of BiCIN2.

Cell: 4.207 4.207 7.441 Å, 90.00 90.00 90.00°
Space group P4/mmm (No. 123)
Asymmetric unit:
1 Bi 0.000 0.000 0.000 [1 per cell]
2 C 0.500 0.500 0.500 [1 per cell]
3 I 0.000 0.000 0.500 [1 per cell]
4 N 0.000 0.500 0.000 [2 per cell]

For the density of states at the Fermi level, the calculation gives 3.9 states/eV/f.u. As for the crystal system: tetragonal.

Most stable of them? P.